1.
DFT (PBE) results for crystalline Mn4Be2Si3 at its relaxed geometry.

The space group is C2/m (No. 12) and the conventional cell measures 7.920, 3.314 and 7.660 Å, with angles of 90.00, 103.18 and 90.00 degrees. The inequivalent atoms are Mn at (0.029, 0.000, 0.334), Mn at (0.175, 0.500, 0.879), Be at (0.156, 0.500, 0.199), Si at (0.000, 0.000, 0.000) and Si at (0.161, 0.500, 0.565).

As for the crystal system: monoclinic. The uncorrected formation energy comes out at -0.281 eV/atom. As for the density of states at the Fermi level: 0.486 states/eV/atom. The calculation puts the size of the total moment at 6.91 μB/f.u. The value obtained for the total energy is -6.992 eV/atom.


2.
DFT (PBE) results for crystalline Ta2Mn5Be2Si at its relaxed geometry.

The space group is P4/mbm (No. 127) and the conventional cell measures 8.719, 8.719 and 3.123 Å, with angles of 90.00, 90.00 and 90.00 degrees. The inequivalent atoms are Ta at (0.174, 0.326, 0.000), Mn at (0.000, 0.500, 0.500), Mn at (0.065, 0.791, 0.500), Be at (0.122, 0.622, 0.000) and Si at (0.000, 0.000, 0.000).

As for the crystal system: tetragonal. The uncorrected formation energy comes out at -0.213 eV/atom. As for the density of states at the Fermi level: 0.700 states/eV/atom. The calculation puts the size of the total moment at 6.20 μB/f.u. The value obtained for the total energy is -8.456 eV/atom.


3.
DFT (PBE) results for crystalline TaMnBe2Si at its relaxed geometry.

The space group is P4/mmm (No. 123) and the conventional cell measures 3.927, 3.927 and 4.153 Å, with angles of 90.00, 90.00 and 90.00 degrees. The inequivalent atoms are Ta at (0.000, 0.000, 0.000), Mn at (0.500, 0.500, 0.500), Be at (0.000, 0.500, 0.500) and Si at (0.500, 0.500, 0.000).

As for the crystal system: tetragonal. The uncorrected formation energy comes out at 0.500 eV/atom. As for the density of states at the Fermi level: 0.463 states/eV/atom. The calculation puts the size of the total moment at 0.00 μB/f.u. The value obtained for the total energy is -6.280 eV/atom.


4.
DFT (PBE) results for crystalline MnBe2SiTc at its relaxed geometry.

The space group is P4/mmm (No. 123) and the conventional cell measures 4.030, 4.030 and 4.215 Å, with angles of 90.00, 90.00 and 90.00 degrees. The inequivalent atoms are Mn at (0.000, 0.000, 0.000), Be at (0.000, 0.500, 0.500), Si at (0.000, 0.000, 0.500) and Tc at (0.500, 0.500, 0.000).

As for the crystal system: tetragonal. The uncorrected formation energy comes out at 0.986 eV/atom. As for the density of states at the Fermi level: 0.461 states/eV/atom. The calculation puts the size of the total moment at 3.99 μB/f.u. The value obtained for the total energy is -5.496 eV/atom.


5.
DFT (PBE) results for crystalline MnBeTlSi2 at its relaxed geometry.

The space group is P4/mmm (No. 123) and the conventional cell measures 4.328, 4.328 and 4.209 Å, with angles of 90.00, 90.00 and 90.00 degrees. The inequivalent atoms are Mn at (0.000, 0.000, 0.000), Be at (0.000, 0.000, 0.500), Tl at (0.500, 0.500, 0.000) and Si at (0.000, 0.500, 0.500).

As for the crystal system: tetragonal. The uncorrected formation energy comes out at 0.869 eV/atom. As for the density of states at the Fermi level: 1.038 states/eV/atom. The calculation puts the size of the total moment at 0.00 μB/f.u. The value obtained for the total energy is -4.352 eV/atom.


6.
DFT (PBE) results for crystalline UMnBeSi2 at its relaxed geometry.

The space group is I-4m2 (No. 119) and the conventional cell measures 3.800, 3.800 and 10.312 Å, with angles of 90.00, 90.00 and 90.00 degrees. The inequivalent atoms are U at (0.000, 0.000, 0.000), Mn at (0.000, 0.500, 0.250), Be at (0.000, 0.500, 0.750) and Si at (0.000, 0.000, 0.383).

As for the crystal system: tetragonal. The uncorrected formation energy comes out at -0.268 eV/atom. As for the density of states at the Fermi level: 1.429 states/eV/atom. The calculation puts the size of the total moment at 4.06 μB/f.u. The value obtained for the total energy is -7.274 eV/atom.


7.
DFT (PBE) results for crystalline MnBeVSi at its relaxed geometry.

The space group is F-43m (No. 216) and the conventional cell measures 5.560, 5.560 and 5.560 Å, with angles of 90.00, 90.00 and 90.00 degrees. The inequivalent atoms are Mn at (0.000, 0.000, 0.000), Be at (0.000, 0.000, 0.500), V at (0.250, 0.250, 0.250) and Si at (0.250, 0.250, 0.750).

As for the crystal system: cubic. The uncorrected formation energy comes out at -0.359 eV/atom. As for the density of states at the Fermi level: 0.062 states/eV/atom. The calculation puts the size of the total moment at 0.00 μB/f.u. The value obtained for the total energy is -7.218 eV/atom.


8.
DFT (PBE) results for crystalline Mn5Be2V2Si at its relaxed geometry.

The space group is P4/mbm (No. 127) and the conventional cell measures 8.554, 8.554 and 3.051 Å, with angles of 90.00, 90.00 and 90.00 degrees. The inequivalent atoms are Mn at (0.000, 0.500, 0.000), Mn at (0.068, 0.207, 0.000), Be at (0.124, 0.376, 0.500), V at (0.171, 0.671, 0.500) and Si at (0.000, 0.000, 0.500).

As for the crystal system: tetragonal. The uncorrected formation energy comes out at -0.119 eV/atom. As for the density of states at the Fermi level: 0.665 states/eV/atom. The calculation puts the size of the total moment at 5.90 μB/f.u. The value obtained for the total energy is -7.815 eV/atom.


9.
DFT (PBE) results for crystalline MnBeSiW2 at its relaxed geometry.

The space group is P4/mmm (No. 123) and the conventional cell measures 4.498, 4.498 and 4.060 Å, with angles of 90.00, 90.00 and 90.00 degrees. The inequivalent atoms are Mn at (0.000, 0.000, 0.000), Be at (0.500, 0.500, 0.000), Si at (0.000, 0.000, 0.500) and W at (0.000, 0.500, 0.500).

As for the crystal system: tetragonal. The uncorrected formation energy comes out at 1.447 eV/atom. As for the density of states at the Fermi level: 1.223 states/eV/atom. The calculation puts the size of the total moment at 0.00 μB/f.u. The value obtained for the total energy is -7.398 eV/atom.


10.
DFT (PBE) results for crystalline SmMn10Be2 at its relaxed geometry.

The space group is Cmcm (No. 63) and the conventional cell measures 8.210, 9.485 and 7.912 Å, with angles of 90.00, 90.00 and 90.00 degrees. The inequivalent atoms are Sm at (0.000, 0.126, 0.250), Mn at (0.000, 0.180, 0.608), Mn at (0.000, 0.395, 0.064), Mn at (0.133, 0.389, 0.750), Mn at (0.222, 0.000, 0.000), Mn at (0.249, 0.371, 0.250) and Be at (0.250, 0.250, 0.000).

As for the crystal system: orthorhombic. As for the density of states at the Fermi level: 0.974 states/eV/atom. Its energy of formation from the pure elements is 0.23 eV/f.u. The calculation puts the size of the total moment at 1.04 μB/f.u. The value obtained for the total energy is -7.972 eV/atom.


11.
DFT (PBE) results for crystalline MnBeSn2 at its relaxed geometry.

The space group is I-42d (No. 122) and the conventional cell measures 7.396, 7.396 and 5.899 Å, with angles of 90.00, 90.00 and 90.00 degrees. The inequivalent atoms are Mn at (0.000, 0.000, 0.000), Be at (0.000, 0.000, 0.500) and Sn at (0.205, 0.250, 0.625).

As for the crystal system: tetragonal. As for the density of states at the Fermi level: 0.602 states/eV/atom. Its energy of formation from the pure elements is 2.03 eV/f.u. The calculation puts the size of the total moment at 4.07 μB/f.u. The value obtained for the total energy is -4.719 eV/atom.


12.
DFT (PBE) results for crystalline Mn2BeSn at its relaxed geometry.

The space group is Fm-3m (No. 225) and the conventional cell measures 5.958, 5.958 and 5.958 Å, with angles of 90.00, 90.00 and 90.00 degrees. The inequivalent atoms are Mn at (0.250, 0.250, 0.250), Be at (0.000, 0.000, 0.000) and Sn at (0.000, 0.000, 0.500).

As for the crystal system: cubic. As for the density of states at the Fermi level: 1.002 states/eV/atom. Its energy of formation from the pure elements is 1.03 eV/f.u. For the energy above the most stable polymorph in this dataset, the calculation gives 0.000 eV per atom. The calculation puts the size of the total moment at 3.81 μB/f.u. The value obtained for the total energy is -6.260 eV/atom.